# K2Te2Pd3 | Alexandria via LeMat-Bulk | PBE | optimized geometry
# Formation energy without anion corrections   -0.52 eV/atom
# M_tot   0.00 μB/atom
# Energy   -0.1453 Ha/atom
data_K2Te2Pd3
_symmetry_space_group_name_H-M 'P 1'
_symmetry_Int_Tables_number 1
_cell_length_a 4.604
_cell_length_b 6.718
_cell_length_c 7.633
_cell_angle_alpha 116.03
_cell_angle_beta 90.00
_cell_angle_gamma 110.04
loop_
_symmetry_equiv_pos_as_xyz
'x,y,z'
loop_
_atom_site_label
_atom_site_type_symbol
_atom_site_fract_x
_atom_site_fract_y
_atom_site_fract_z
K1 K 0.130 0.259 0.754
K2 K 0.870 0.741 0.246
Pd1 Pd 0.673 0.346 0.408
Pd2 Pd 0.327 0.654 0.592
Pd3 Pd 0.500 0.000 0.000
Te1 Te 0.138 0.277 0.221
Te2 Te 0.862 0.723 0.779